No. 1
This record from Alexandria via LeMat-Bulk describes a geometry-optimized BaVBi2 structure. The functional is GGA-PBE.

## Properties
As for the formation energy: 0.047 eV per atom. The density comes out at 6.27 g/cm3. The calculation puts the energy above the most stable polymorph in this dataset at 0 meV per atom. As for the total energy: -18.62 eV per formula unit.

Unit cell a=5.9243 b=5.9243 c=18.2972 alpha=90.00 beta=90.00 gamma=90.00
Space group I-42d (No. 122)
Unique sites:
1 Ba 0.0000 0.0000 0.0000 [4 per cell]
2 V 0.0000 0.0000 0.5000 [4 per cell]
3 Bi 0.0962 0.2500 0.6250 [8 per cell]


No. 2
This record from Alexandria via LeMat-Bulk describes a geometry-optimized BaV3Bi structure. The functional is GGA-PBE.

## Properties
As for the formation energy: 2.178 eV per atom. The density comes out at 6.51 g/cm3. The calculation puts the energy above the most stable polymorph in this dataset at 984 meV per atom. As for the total energy: -22.27 eV per formula unit.

Unit cell a=5.0299 b=5.0299 c=5.0299 alpha=90.00 beta=90.00 gamma=90.00
Space group Pm-3m (No. 221)
Unique sites:
1 Ba 0.0000 0.0000 0.0000 [1 per cell]
2 V 0.0000 0.0000 0.5000 [3 per cell]
3 Bi 0.5000 0.5000 0.5000 [1 per cell]


No. 3
This record from Alexandria via LeMat-Bulk describes a geometry-optimized BaV3Bi structure. The functional is GGA-PBE.

## Properties
As for the formation energy: 1.195 eV per atom. The density comes out at 5.24 g/cm3. The calculation puts the energy above the most stable polymorph in this dataset at 0 meV per atom. As for the total energy: -27.19 eV per formula unit.

Unit cell a=5.4070 b=5.4070 c=5.4070 alpha=90.00 beta=90.00 gamma=90.00
Space group Pm-3m (No. 221)
Unique sites:
1 Ba 0.0000 0.0000 0.0000 [1 per cell]
2 V 0.0000 0.5000 0.5000 [3 per cell]
3 Bi 0.5000 0.5000 0.5000 [1 per cell]